[1]
A geometry-optimized Tb3UTl3Se8 structure, computed with PBE.

Lattice parameters (Å, degrees): 9.194 9.194 9.194 54.01 54.01 54.01
Fractional positions:
Tb (0.000, 0.500, 0.500)
Tb (0.500, 0.000, 0.500)
Tb (0.500, 0.500, 0.000)
U (0.000, 0.000, 0.000)
Tl (0.000, 0.000, 0.500)
Tl (0.000, 0.500, 0.000)
Tl (0.500, 0.000, 0.000)
Se (0.231, 0.231, 0.739)
Se (0.231, 0.739, 0.231)
Se (0.261, 0.769, 0.769)
Se (0.265, 0.265, 0.265)
Se (0.735, 0.735, 0.735)
Se (0.739, 0.231, 0.231)
Se (0.769, 0.261, 0.769)
Se (0.769, 0.769, 0.261)

Computed properties:
- formation energy without anion corrections (kJ per mole of atoms) = -129.1
- raw total energy (eV/atom) = -5.35
- calculated volume (A^3/atom) = 31.52
- DOS at the Fermi energy (states/eV/cell) = 5.88

***

[2]
A geometry-optimized Tb3UTl4Se8 structure, computed with PBE.

Lattice parameters (Å, degrees): 9.178 9.178 9.178 54.50 54.50 54.50
Fractional positions:
Tb (0.000, 0.500, 0.500)
Tb (0.500, 0.000, 0.500)
Tb (0.500, 0.500, 0.000)
U (0.000, 0.000, 0.000)
Tl (0.000, 0.000, 0.500)
Tl (0.000, 0.500, 0.000)
Tl (0.500, 0.000, 0.000)
Tl (0.500, 0.500, 0.500)
Se (0.235, 0.235, 0.735)
Se (0.235, 0.735, 0.235)
Se (0.265, 0.265, 0.265)
Se (0.265, 0.765, 0.765)
Se (0.735, 0.235, 0.235)
Se (0.735, 0.735, 0.735)
Se (0.765, 0.265, 0.765)
Se (0.765, 0.765, 0.265)

Computed properties:
- formation energy without anion corrections (kJ per mole of atoms) = -120.6
- raw total energy (eV/atom) = -5.16
- calculated volume (A^3/atom) = 29.78
- DOS at the Fermi energy (states/eV/cell) = 9.36

***

[3]
A geometry-optimized TbU2Tl3Se6 structure, computed with PBE.

Lattice parameters (Å, degrees): 7.250 7.250 8.210 98.46 98.46 120.00
Fractional positions:
Tb (0.000, 0.000, 0.000)
U (0.333, 0.667, 0.000)
U (0.667, 0.333, 0.000)
Tl (0.167, 0.833, 0.500)
Tl (0.500, 0.500, 0.500)
Tl (0.833, 0.167, 0.500)
Se (0.068, 0.402, 0.205)
Se (0.265, 0.265, 0.795)
Se (0.402, 0.068, 0.205)
Se (0.598, 0.932, 0.795)
Se (0.735, 0.735, 0.205)
Se (0.932, 0.598, 0.795)

Computed properties:
- formation energy without anion corrections (kJ per mole of atoms) = -100.1
- raw total energy (eV/atom) = -5.64
- calculated volume (A^3/atom) = 29.76
- DOS at the Fermi energy (states/eV/cell) = 8.80

***

[4]
A geometry-optimized TbYTl2Se4 structure, computed with PBE.

Lattice parameters (Å, degrees): 7.270 4.197 8.139 90.00 107.31 90.00
Fractional positions:
Tb (0.000, 0.000, 0.000)
Y (0.500, 0.500, 0.000)
Tl (0.000, 0.500, 0.500)
Tl (0.500, 0.000, 0.500)
Se (0.235, 0.500, 0.205)
Se (0.266, 0.000, 0.795)
Se (0.734, 0.000, 0.205)
Se (0.765, 0.500, 0.795)

Computed properties:
- formation energy without anion corrections (kJ per mole of atoms) = -134.4
- raw total energy (eV/atom) = -5.11
- calculated volume (A^3/atom) = 29.64

***

Repeat the fourth record exactly.
A geometry-optimized TbYTl2Se4 structure, computed with PBE.

Lattice parameters (Å, degrees): 7.270 4.197 8.139 90.00 107.31 90.00
Fractional positions:
Tb (0.000, 0.000, 0.000)
Y (0.500, 0.500, 0.000)
Tl (0.000, 0.500, 0.500)
Tl (0.500, 0.000, 0.500)
Se (0.235, 0.500, 0.205)
Se (0.266, 0.000, 0.795)
Se (0.734, 0.000, 0.205)
Se (0.765, 0.500, 0.795)

Computed properties:
- formation energy without anion corrections (kJ per mole of atoms) = -134.4
- raw total energy (eV/atom) = -5.11
- calculated volume (A^3/atom) = 29.64

***

- The lowest raw total energy belongs to which entry?
  TbU2Tl3Se6